No. 1
The following is a GGA-PBE calculation of crystalline TmMnN at its relaxed geometry, from Alexandria.

a = 6.438 Å, b = 6.438 Å, c = 6.438 Å
α = 147.56°, β = 141.75°, γ = 51.00°
Fractional positions:
1 Tm 0.160 0.160 0.000
2 Tm 0.840 0.840 0.000
3 Mn 0.239 0.500 0.739
4 Mn 0.761 0.500 0.261
5 N 0.362 0.362 0.000
6 N 0.638 0.638 0.000


No. 2
The following is a GGA-PBE calculation of crystalline IrPt8Rh2 at its relaxed geometry, from Alexandria.

ΔE to the lowest computed polymorph	279	meV per atom

a = 6.934 Å, b = 6.934 Å, c = 4.639 Å
α = 90.42°, β = 90.42°, γ = 60.96°
Fractional positions:
1 Ir 0.000 0.000 0.000
2 Pt 0.199 0.590 0.807
3 Pt 0.221 0.221 0.009
4 Pt 0.409 0.409 0.313
5 Pt 0.410 0.801 0.193
6 Pt 0.590 0.199 0.807
7 Pt 0.591 0.591 0.687
8 Pt 0.779 0.779 0.991
9 Pt 0.801 0.410 0.193
10 Rh 0.108 0.108 0.518
11 Rh 0.892 0.892 0.482


No. 3
The following is a GGA-PBE calculation of crystalline La3Ta at its relaxed geometry, from Alexandria.

a = 6.519 Å, b = 6.519 Å, c = 6.519 Å
α = 144.48°, β = 129.86°, γ = 62.95°
Fractional positions:
1 La 0.000 0.000 0.000
2 La 0.287 0.787 0.500
3 La 0.713 0.213 0.500
4 Ta 0.500 0.500 0.000


No. 4
The following is a GGA-PBE calculation of crystalline Pm2YErTe6 at its relaxed geometry, from Alexandria.

a = 8.374 Å, b = 8.374 Å, c = 8.374 Å
α = 55.47°, β = 55.47°, γ = 55.47°
Fractional positions:
1 Pm 0.000 0.000 0.000
2 Pm 0.500 0.500 0.500
3 Y 0.189 0.189 0.189
4 Er 0.688 0.688 0.688
5 Te 0.081 0.417 0.793
6 Te 0.295 0.915 0.584
7 Te 0.417 0.793 0.081
8 Te 0.584 0.295 0.915
9 Te 0.793 0.081 0.417
10 Te 0.915 0.584 0.295


Theoretical density in g/cm3, matching the order above: 8.96; 16.68; 8.12; 5.86
Final energy in eV per atom, matching the order above: -7.665; -6.176; -6.226; -5.310